A plane-wave DFT calculation with PBE was carried out for a relaxed FeCo5H4 crystal.

N(E_F): 6.43 states/eV/f.u.
E_tot: -5.73 eV per atom

Lattice parameters (Å, degrees): 5.776 5.776 5.157 102.80 102.80 25.73
Fractional positions:
Fe (0.000, 0.000, 0.000)
Co (0.000, 0.000, 0.500)
Co (0.329, 0.329, 0.656)
Co (0.332, 0.332, 0.174)
Co (0.668, 0.668, 0.826)
Co (0.671, 0.671, 0.344)
H (0.169, 0.169, 0.084)
H (0.500, 0.500, 0.257)
H (0.500, 0.500, 0.743)
H (0.831, 0.831, 0.916)